1.
Compound: Zr3BiF15
Source: the Alexandria database
Functional: PBE
Structure: relaxed

```
Zr3BiF15
1.0
8.281 0.000 0.000
-1.446 8.168 0.000
-2.909 -3.504 15.959
Zr Bi F
12 4 60
direct
0.174 0.243 0.412
0.244 0.178 0.163
0.246 0.748 0.374
0.254 0.174 0.660
0.256 0.750 0.879
0.321 0.677 0.128
0.679 0.323 0.872
0.744 0.250 0.121
0.746 0.826 0.340
0.754 0.252 0.626
0.756 0.822 0.837
0.826 0.757 0.588
0.182 0.250 0.912
0.323 0.676 0.626
0.677 0.324 0.374
0.818 0.750 0.088
0.002 0.275 0.140
0.008 0.275 0.637
0.035 0.652 0.594
0.039 0.963 0.618
0.045 0.978 0.139
0.065 0.649 0.095
0.150 0.194 0.281
0.158 0.173 0.765
0.181 0.142 0.035
0.190 0.149 0.527
0.222 0.726 0.753
0.223 0.724 0.247
0.228 0.498 0.362
0.230 0.497 0.860
0.243 0.448 0.513
0.253 0.471 0.027
0.265 0.003 0.385
0.271 0.772 0.004
0.275 0.786 0.500
0.293 0.002 0.894
0.306 0.445 0.176
0.320 0.430 0.677
0.341 0.943 0.155
0.353 0.966 0.663
0.430 0.307 0.426
0.447 0.239 0.262
0.468 0.320 0.923
0.471 0.255 0.768
0.489 0.226 0.112
0.498 0.219 0.612
0.502 0.781 0.388
0.511 0.774 0.888
0.529 0.745 0.232
0.532 0.680 0.077
0.553 0.761 0.738
0.570 0.693 0.574
0.647 0.034 0.337
0.659 0.057 0.845
0.680 0.570 0.323
0.694 0.555 0.824
0.707 0.998 0.106
0.725 0.214 0.500
0.729 0.228 0.996
0.735 0.997 0.615
0.747 0.529 0.973
0.757 0.552 0.487
0.770 0.503 0.140
0.772 0.502 0.638
0.777 0.276 0.753
0.778 0.274 0.247
0.810 0.851 0.473
0.819 0.858 0.965
0.842 0.827 0.235
0.850 0.806 0.719
0.935 0.351 0.905
0.955 0.022 0.861
0.961 0.037 0.382
0.965 0.348 0.406
0.992 0.725 0.363
0.998 0.725 0.860
```

Results
magnetization: 0.00 μB/cell
N(E_F): 0.00 states/eV/f.u.
crystal system: triclinic
uncorrected formation energy: -3.42 eV/atom


2.
Compound: Zr3BiF15
Source: the Alexandria database
Functional: PBE
Structure: relaxed

```
Zr3BiF15
1.0
5.369 -6.330 0.000
5.369 6.330 0.000
-2.349 0.000 7.958
Zr Bi F
6 2 30
direct
0.244 0.756 0.750
0.260 0.322 0.173
0.322 0.260 0.673
0.678 0.740 0.327
0.740 0.678 0.827
0.756 0.244 0.250
0.179 0.821 0.250
0.821 0.179 0.750
0.007 0.273 0.278
0.052 0.251 0.975
0.068 0.196 0.648
0.157 0.532 0.183
0.196 0.068 0.148
0.226 0.498 0.717
0.232 0.719 0.500
0.251 0.052 0.475
0.273 0.007 0.778
0.281 0.768 0.000
0.319 0.349 0.443
0.349 0.319 0.943
0.468 0.532 0.250
0.468 0.843 0.317
0.498 0.226 0.217
0.502 0.774 0.783
0.532 0.157 0.683
0.532 0.468 0.750
0.651 0.681 0.057
0.681 0.651 0.557
0.719 0.232 0.000
0.727 0.993 0.222
0.749 0.948 0.525
0.768 0.281 0.500
0.774 0.502 0.283
0.804 0.932 0.852
0.843 0.468 0.817
0.932 0.804 0.352
0.948 0.749 0.025
0.993 0.727 0.722
```

Results
magnetization: 0.00 μB/cell
N(E_F): 0.00 states/eV/f.u.
crystal system: monoclinic
uncorrected formation energy: -3.42 eV/atom


3.
Compound: ZrBi2F8
Source: the Alexandria database
Functional: PBE
Structure: relaxed

```
ZrBi2F8
1.0
8.203 -1.931 0.000
8.203 1.931 0.000
-1.502 0.000 5.246
Zr Bi F
1 2 8
direct
0.000 0.000 0.000
0.317 0.317 0.273
0.683 0.683 0.727
0.086 0.086 0.346
0.120 0.120 0.897
0.260 0.260 0.656
0.472 0.472 0.171
0.528 0.528 0.829
0.740 0.740 0.344
0.880 0.880 0.103
0.914 0.914 0.654
```

Results
magnetization: 0.00 μB/cell
N(E_F): 1.36 states/eV/f.u.
crystal system: monoclinic
uncorrected formation energy: -2.63 eV/atom


4.
Compound: ZrBi3F
Source: the Alexandria database
Functional: PBE
Structure: relaxed

```
ZrBi3F
1.0
5.608 0.000 0.000
0.000 5.608 0.000
0.000 0.000 5.608
Zr Bi F
1 3 1
direct
0.000 0.000 0.000
0.000 0.000 0.500
0.000 0.500 0.000
0.500 0.000 0.000
0.500 0.500 0.500
```

Results
magnetization: 0.00 μB/cell
N(E_F): 2.10 states/eV/f.u.
crystal system: cubic
uncorrected formation energy: -0.06 eV/atom


5.
Compound: Zr2BiF
Source: the Alexandria database
Functional: PBE
Structure: relaxed

```
Zr2BiF
1.0
0.000 3.455 3.455
3.455 0.000 3.455
3.455 3.455 0.000
Zr Bi F
2 1 1
direct
0.250 0.250 0.250
0.750 0.750 0.750
0.000 0.000 0.000
0.500 0.500 0.500
```

Results
magnetization: 0.00 μB/cell
N(E_F): 6.02 states/eV/f.u.
crystal system: cubic
uncorrected formation energy: -0.71 eV/atom


6.
Compound: ZrBi2F
Source: the Alexandria database
Functional: PBE
Structure: relaxed

```
ZrBi2F
1.0
-3.882 3.882 3.082
3.882 -3.882 3.082
3.882 3.882 -3.082
Zr Bi F
2 4 2
direct
0.000 0.000 0.000
0.750 0.250 0.500
0.182 0.625 0.057
0.375 0.432 0.557
0.568 0.125 0.943
0.875 0.818 0.443
0.250 0.750 0.500
0.500 0.500 0.000
```

Results
magnetization: 0.00 μB/cell
N(E_F): 3.95 states/eV/f.u.
crystal system: tetragonal
uncorrected formation energy: -0.51 eV/atom


7.
Compound: Zr2BiF2
Source: the Alexandria database
Functional: PBE
Structure: relaxed

```
Zr2BiF2
1.0
-1.851 1.851 6.356
1.851 -1.851 6.356
1.851 1.851 -6.356
Zr Bi F
2 1 2
direct
0.126 0.126 0.000
0.874 0.874 0.000
0.500 0.500 0.000
0.250 0.750 0.500
0.750 0.250 0.500
```

Results
magnetization: 0.00 μB/cell
N(E_F): 1.85 states/eV/f.u.
crystal system: tetragonal
uncorrected formation energy: -1.76 eV/atom


8.
Compound: ZrBi3F
Source: the Alexandria database
Functional: PBE
Structure: relaxed

```
ZrBi3F
1.0
5.027 0.000 0.000
0.000 5.027 0.000
0.000 0.000 5.027
Zr Bi F
1 3 1
direct
0.000 0.000 0.000
0.000 0.500 0.500
0.500 0.000 0.500
0.500 0.500 0.000
0.500 0.500 0.500
```

Results
magnetization: 0.10 μB/cell
N(E_F): 3.62 states/eV/f.u.
crystal system: cubic
uncorrected formation energy: -0.29 eV/atom


9.
Compound: Zr2BiF
Source: the Alexandria database
Functional: PBE
Structure: relaxed

```
Zr2BiF
1.0
-2.587 2.587 7.322
2.587 -2.587 7.322
2.587 2.587 -7.322
Zr Bi F
4 2 2
direct
0.375 0.226 0.351
0.774 0.125 0.149
0.875 0.024 0.649
0.976 0.625 0.851
0.250 0.750 0.500
0.500 0.500 0.000
0.000 0.000 0.000
0.750 0.250 0.500
```

Results
magnetization: 0.00 μB/cell
N(E_F): 0.62 states/eV/f.u.
crystal system: tetragonal
uncorrected formation energy: -0.60 eV/atom


10.
Compound: Fe4Bi
Source: the Alexandria database
Functional: PBE
Structure: relaxed

```
Fe4Bi
1.0
4.834 0.000 0.000
0.000 4.834 0.000
0.000 0.000 4.834
Fe Bi
4 1
direct
0.000 0.000 0.000
0.000 0.500 0.500
0.500 0.000 0.500
0.500 0.500 0.000
0.500 0.500 0.500
```

Results
magnetization: 11.44 μB/cell
total energy: -5.671 eV/atom
N(E_F): 7.57 states/eV/f.u.
crystal system: cubic


11.
Compound: GaFe3Bi
Source: the Alexandria database
Functional: PBE
Structure: relaxed

```
GaFe3Bi
1.0
4.866 0.000 0.000
0.000 4.866 0.000
0.000 0.000 4.866
Ga Fe Bi
1 3 1
direct
0.000 0.000 0.000
0.000 0.500 0.500
0.500 0.000 0.500
0.500 0.500 0.000
0.500 0.500 0.500
```

Results
magnetization: 8.15 μB/cell
total energy: -4.990 eV/atom
N(E_F): 9.31 states/eV/f.u.
crystal system: cubic


12.
Compound: GaFe3Bi
Source: the Alexandria database
Functional: PBE
Structure: relaxed

```
GaFe3Bi
1.0
4.522 0.000 0.000
0.000 4.522 0.000
0.000 0.000 4.522
Ga Fe Bi
1 3 1
direct
0.000 0.000 0.000
0.000 0.000 0.500
0.000 0.500 0.000
0.500 0.000 0.000
0.500 0.500 0.500
```

Results
magnetization: 7.47 μB/cell
total energy: -5.656 eV/atom
N(E_F): 7.27 states/eV/f.u.
crystal system: cubic